## ZrU2MnS6 (PBE)

Data for ZrU2MnS6 after structural relaxation.

a = 6.5760 Å, b = 6.5760 Å, c = 18.2040 Å
α = 90.00°, β = 90.00°, γ = 120.00°
Last column: nearest neighbours and their distance in Å.
Space group R3 (No. 146, hexagonal axes)
Inequivalent atoms, fractional coordinates:
Zr: 0.0000 0.0000 0.0000  6 S 2.60-2.64
U: 0.0000 0.0000 0.1851  6 S 2.71-2.72
U: 0.0000 0.0000 0.6847  6 S 2.70
Mn: 0.0000 0.0000 0.4988  6 S 2.55-2.59
S: 0.0052 0.3637 0.7558  1 Mn 2.55, 1 Zr 2.64, 2 U 2.70-2.72
S: 0.0121 0.6406 0.2536  1 Mn 2.59, 1 Zr 2.60, 2 U 2.70-2.71

Properties
For the magnetization, the calculation gives 26.9 μB per cell. As for the uncorrected formation energy: -1.1798 eV per atom.